The following is a DFT calculation (PBE) of crystalline PaNb2B6 at its relaxed geometry. Values from VASP.

Quantum ESPRESSO input file:
```
&SYSTEM
  ibrav = 0, nat = 9, ntyp = 3
/
ATOMIC_SPECIES
Pa 231.04 Pa.upf
Nb 92.91 Nb.upf
B 10.81 B.upf
ATOMIC_POSITIONS angstrom
Pa 0.000 0.000 0.000
Nb 0.000 3.149 0.000
Nb 2.727 1.575 0.000
B -0.922 1.598 1.841
B -1.805 3.126 1.841
B 1.845 0.000 1.841
B 0.922 1.598 1.841
B 3.610 0.000 1.841
B 1.805 3.126 1.841
CELL_PARAMETERS angstrom
5.455 0.000 0.000
-2.727 4.724 0.000
0.000 0.000 3.681
```

***

The following is a DFT calculation (PBE) of crystalline LiYHoZn at its relaxed geometry. Values from VASP.

Values from the calculation:
relative energy among the computed polymorphs = 0.0027 eV/atom

Quantum ESPRESSO input file:
```
&SYSTEM
  ibrav = 0, nat = 4, ntyp = 4
/
ATOMIC_SPECIES
Li 6.94 Li.upf
Y 88.91 Y.upf
Ho 164.93 Ho.upf
Zn 65.41 Zn.upf
ATOMIC_POSITIONS angstrom
Li 0.000 0.000 0.000
Y 1.803 1.803 1.803
Ho 5.408 5.408 5.408
Zn 3.605 3.605 3.605
CELL_PARAMETERS angstrom
0.000 3.605 3.605
3.605 0.000 3.605
3.605 3.605 0.000
```

***

Number 1: theoretical density 8.43 Mg/m³, raw total energy -74.926 eV/cell, energy of formation -5.2 eV/f.u.. Number 2: theoretical density 5.78 Mg/m³, raw total energy -14.736 eV/cell, energy of formation -0.5 eV/f.u..